First-principles (PBE) data for a relaxed TaAl5 crystal, as listed in OQMD via LeMat-Bulk.

The space group is Cmcm. The total energy is -5.167 eV per atom. Its total magnetization is 0.00 μB per formula unit. The distance to the lowest polymorph of the same formula comes out at 0.0000 eV/atom.

Unit cell a=5.2917 b=5.2917 c=8.5096 alpha=90.00 beta=90.00 gamma=119.77
Fractional positions:
Al: 0.0000 0.0000 0.0000
Al: 0.0000 0.0000 0.5000
Al: 0.6883 0.3117 0.0710
Al: 0.1804 0.3397 0.2500
Al: 0.8196 0.6603 0.7500
Al: 0.6603 0.8196 0.2500
Al: 0.6883 0.3117 0.4290
Al: 0.3117 0.6883 0.9290
Al: 0.3397 0.1804 0.7500
Al: 0.3117 0.6883 0.5710
Ta: 0.1706 0.8294 0.2500
Ta: 0.8294 0.1706 0.7500

=====

First-principles (PBE) data for a relaxed Ba14In4Cu2N7 crystal, as listed in OQMD via LeMat-Bulk.

The space group is P2/m. The total energy is -4.195 eV per atom.

Unit cell a=9.3529 b=8.1233 c=21.7639 alpha=90.00 beta=102.33 gamma=90.00
Fractional positions:
N: 0.2049 0.5000 0.0060
N: 0.3526 0.0000 0.1980
N: 0.4526 0.5000 0.3978
N: 0.9822 0.0000 0.9125
N: 0.7951 0.5000 0.9940
N: 0.5540 0.0000 0.6145
N: 0.1985 0.2419 0.4972
N: 0.4460 0.0000 0.3855
N: 0.8015 0.2419 0.5028
N: 0.0178 0.0000 0.0875
N: 0.1985 0.7581 0.4972
N: 0.6474 0.0000 0.8020
N: 0.5474 0.5000 0.6022
N: 0.8015 0.7581 0.5028
Cu: 0.0000 0.5000 0.0000
Cu: 0.0000 0.7567 0.5000
Cu: 0.0000 0.0000 0.0000
Cu: 0.0000 0.2433 0.5000
In: 0.8649 0.6957 0.2818
In: 0.1351 0.6957 0.7182
In: 0.3684 0.5000 0.8081
In: 0.8649 0.3043 0.2818
In: 0.6316 0.5000 0.1919
In: 0.1351 0.3043 0.7182
In: 0.0738 0.5000 0.2208
In: 0.9262 0.5000 0.7792
Ba: 0.2519 0.7493 0.1084
Ba: 0.5753 0.2551 0.6909
Ba: 0.2519 0.2507 0.1084
Ba: 0.8336 0.0000 0.5918
Ba: 0.7494 0.5000 0.4168
Ba: 0.4247 0.2551 0.3091
Ba: 0.8424 0.7305 0.0877
Ba: 0.7472 0.0000 0.4115
Ba: 0.5000 0.7493 0.5000
Ba: 0.0823 0.0000 0.2125
Ba: 0.6143 0.0000 0.1947
Ba: 0.2506 0.5000 0.5832
Ba: 0.2528 0.0000 0.5885
Ba: 0.4247 0.7449 0.3091
Ba: 0.1576 0.7305 0.9123
Ba: 0.5753 0.7449 0.6909
Ba: 0.7481 0.7493 0.8916
Ba: 0.8424 0.2695 0.0877
Ba: 0.5000 0.5000 0.0000
Ba: 0.7481 0.2507 0.8916
Ba: 0.9177 0.0000 0.7875
Ba: 0.1664 0.0000 0.4082
Ba: 0.1701 0.5000 0.4073
Ba: 0.5000 0.2507 0.5000
Ba: 0.3857 0.0000 0.8053
Ba: 0.1576 0.2695 0.9123
Ba: 0.8299 0.5000 0.5927
Ba: 0.5000 0.0000 0.0000

=====

First-principles (PBE) data for a relaxed LiTaPd crystal, as listed in OQMD via LeMat-Bulk.

The space group is F-43m. The total energy is -5.677 eV per atom. Its total magnetization is 0.00 μB per formula unit. The distance to the lowest polymorph of the same formula comes out at 0.0000 eV/atom.

Unit cell a=4.2616 b=4.2616 c=4.2616 alpha=60.00 beta=60.00 gamma=60.00
Fractional positions:
Li: 0.2500 0.2500 0.2500
Pd: 0.7500 0.7500 0.7500
Ta: 0.0000 0.0000 0.0000

=====

First-principles (PBE) data for a relaxed LuBeTlTe3 crystal, as listed in OQMD via LeMat-Bulk.

The space group is Cmcm. The total energy is -4.093 eV per atom. Its total magnetization is 0.00 μB per formula unit.

Unit cell a=8.1032 b=8.1032 c=11.3499 alpha=90.00 beta=90.00 gamma=150.04
Fractional positions:
Te: 0.3724 0.6276 0.9275
Te: 0.3724 0.6276 0.5725
Te: 0.6276 0.3724 0.0725
Te: 0.9369 0.0631 0.2500
Te: 0.6276 0.3724 0.4275
Te: 0.0631 0.9369 0.7500
Lu: 0.0000 0.0000 0.0000
Lu: 0.0000 0.0000 0.5000
Tl: 0.2494 0.7506 0.2500
Tl: 0.7506 0.2494 0.7500
Be: 0.5354 0.4646 0.2500
Be: 0.4646 0.5354 0.7500

=====

First-principles (PBE) data for a relaxed MgScCu4Si2 crystal, as listed in OQMD via LeMat-Bulk.

The space group is P4/mmm. The total energy is -4.385 eV per atom. Its total magnetization is 0.00 μB per formula unit.

Unit cell a=4.2046 b=4.2046 c=6.1738 alpha=90.00 beta=90.00 gamma=90.00
Fractional positions:
Cu: 0.5000 0.0000 0.7618
Cu: 0.5000 0.0000 0.2382
Cu: 0.0000 0.5000 0.2382
Cu: 0.0000 0.5000 0.7618
Si: 0.0000 0.0000 0.0000
Si: 0.5000 0.5000 0.5000
Mg: 0.5000 0.5000 0.0000
Sc: 0.0000 0.0000 0.5000

=====

First-principles (PBE) data for a relaxed PmFeCo crystal, as listed in OQMD via LeMat-Bulk.

The space group is F-43m. The total energy is -5.591 eV per atom. Its total magnetization is 2.62 μB per formula unit. The distance to the lowest polymorph of the same formula comes out at 0.6443 eV/atom. The formation enthalpy at 0 K is 1129 meV/atom.

Unit cell a=4.3643 b=4.3643 c=4.3643 alpha=60.00 beta=60.00 gamma=60.00
Last column: magnetic moment on the atom in μB.
Fractional positions:
Co: 0.2500 0.2500 0.2500  0.67
Fe: 0.7500 0.7500 0.7500  2.33
Pm: 0.0000 0.0000 0.0000  -0.25

=====

First-principles (PBE) data for a relaxed PrDyNO crystal, as listed in OQMD via LeMat-Bulk.

The space group is Pmma. The total energy is -7.785 eV per atom. Its total magnetization is 0.01 μB per formula unit. The distance to the lowest polymorph of the same formula comes out at 0.0000 eV/atom.

Unit cell a=4.0791 b=5.0159 c=7.0587 alpha=90.00 beta=90.00 gamma=90.00
Fractional positions:
Dy: 0.0000 0.4386 0.3350
Dy: 0.0000 0.9386 0.6650
N: 0.0000 0.4384 0.6537
N: 0.0000 0.9384 0.3463
O: 0.5000 0.4385 0.1945
O: 0.5000 0.9385 0.8055
Pr: 0.5000 0.9385 0.1645
Pr: 0.5000 0.4385 0.8355

=====

First-principles (PBE) data for a relaxed LiHoNiSn crystal, as listed in OQMD via LeMat-Bulk.

The space group is F-43m. The total energy is -4.608 eV per atom. Its total magnetization is 0.00 μB per formula unit.

Unit cell a=4.6228 b=4.6228 c=4.6228 alpha=60.00 beta=60.00 gamma=60.00
Fractional positions:
Ho: 0.7500 0.7500 0.7500
Sn: 0.2500 0.2500 0.2500
Li: 0.5000 0.5000 0.5000
Ni: 0.0000 0.0000 0.0000

=====

First-principles (PBE) data for a relaxed GeIr2W crystal, as listed in OQMD via LeMat-Bulk.

The space group is F-43m. The total energy is -8.639 eV per atom. Its total magnetization is 0.01 μB per formula unit.

Unit cell a=4.4085 b=4.4085 c=4.4085 alpha=60.00 beta=60.00 gamma=60.00
Fractional positions:
W: 0.2500 0.2500 0.2500
Ir: 0.0000 0.0000 0.0000
Ir: 0.7500 0.7500 0.7500
Ge: 0.5000 0.5000 0.5000

=====

First-principles (PBE) data for a relaxed Lu2GaCo crystal, as listed in OQMD via LeMat-Bulk.

The space group is F-43m. The total energy is -4.920 eV per atom. Its total magnetization is 0.00 μB per formula unit.

Unit cell a=4.6678 b=4.6678 c=4.6678 alpha=60.00 beta=60.00 gamma=60.00
Fractional positions:
Ga: 0.5000 0.5000 0.5000
Lu: 0.0000 0.0000 0.0000
Lu: 0.7500 0.7500 0.7500
Co: 0.2500 0.2500 0.2500

=====

First-principles (PBE) data for a relaxed Nd2Y2CI2Br3 crystal, as listed in OQMD via LeMat-Bulk.

The space group is C2/m. The total energy is -5.266 eV per atom. Its total magnetization is 0.01 μB per formula unit. The distance to the lowest polymorph of the same formula comes out at 0.0236 eV/atom.

Unit cell a=9.4955 b=9.4955 c=8.3520 alpha=101.80 beta=101.80 gamma=23.86
Fractional positions:
I: 0.1638 0.1638 0.3605
I: 0.8362 0.8362 0.6395
Y: 0.9986 0.9986 0.1977
Y: 0.0014 0.0014 0.8023
Br: 0.8369 0.8369 0.1875
Br: 0.1631 0.1631 0.8125
Br: 0.5000 0.5000 0.5000
C: 0.5000 0.5000 0.0000
Nd: 0.3622 0.3622 0.9357
Nd: 0.6378 0.6378 0.0643

=====

First-principles (PBE) data for a relaxed YB3W crystal, as listed in OQMD via LeMat-Bulk.

The space group is P2_1/m. The total energy is -8.470 eV per atom. Its total magnetization is 0.00 μB per formula unit.

Unit cell a=5.4507 b=3.1652 c=6.8347 alpha=90.00 beta=102.23 gamma=90.00
Fractional positions:
B: 0.5837 0.2500 0.5252
B: 0.0832 0.7500 0.9928
B: 0.5875 0.2500 0.0056
B: 0.4125 0.7500 0.9944
B: 0.9168 0.2500 0.0072
B: 0.4163 0.7500 0.4748
Y: 0.1738 0.2500 0.7074
Y: 0.8262 0.7500 0.2926
W: 0.6878 0.7500 0.7803
W: 0.3122 0.2500 0.2197